# 1
First-principles (PBE-GGA) data for a relaxed RbReNi crystal, as listed in OQMD via LeMat-Bulk.

Cell: 6.644 6.644 6.644 Å, 90.00 90.00 90.00°
Space group F-43m (No. 216)
Unique sites:
Rb 0.000 0.000 0.000 (multiplicity 4)
Re 0.000 0.000 0.500 (multiplicity 4)
Ni 0.250 0.250 0.250 (multiplicity 4)

Summary:
The offset from the most stable computed form is 0.00 kcal/mol of atoms.

---

# 2
First-principles (PBE-GGA) data for a relaxed SrMg2Ag2 crystal, as listed in OQMD via LeMat-Bulk.

Cell: 4.460 4.460 12.381 Å, 90.00 90.00 90.00°
Space group I4/mmm (No. 139)
Unique sites:
Sr 0.000 0.000 0.000 (multiplicity 2)
Mg 0.000 0.500 0.250 (multiplicity 4)
Ag 0.000 0.000 0.387 (multiplicity 4)

Summary:
The calculation puts the total energy at -2.335 eV per atom.

---

# 3
First-principles (PBE-GGA) data for a relaxed DyTm2In3Ag2Au crystal, as listed in OQMD via LeMat-Bulk.

Cell: 3.896 13.538 7.790 Å, 90.00 90.00 90.00°
Space group Amm2 (No. 38)
Unique sites:
Dy 0.000 0.000 0.000 (multiplicity 2)
Tm 0.000 0.200 0.599 (multiplicity 4)
In 0.500 0.000 0.666 (multiplicity 2)
In 0.500 0.133 0.268 (multiplicity 4)
Ag 0.500 0.168 0.900 (multiplicity 4)
Au 0.000 0.000 0.402 (multiplicity 2)

Summary:
The calculation puts the total energy at -3.914 eV per atom.

---

Question: What is the formula in the first record?
Answer: RbReNi